# KPmAs2

An optimized crystal structure of KPmAs2 (PBE-GGA, Alexandria).

a = 4.001 Å, b = 4.001 Å, c = 7.181 Å
α = 90.00°, β = 90.00°, γ = 90.00°
Element x y z (fractional)
Pm 0.500 0.500 0.000
As 0.000 0.000 0.823
As 0.000 0.000 0.177
K 0.500 0.500 0.500

The calculation puts the energy above the most stable polymorph in this dataset at 0.0 meV/atom. As for the density of states at the Fermi level: 0.72 states/eV/f.u. Its space-group type is No. 123. The value obtained for the size of the total moment is 0.0 μB/f.u.